{"formula": "SiC2", "functional": "GGA-PBE", "state": "relaxed", "lattice": [[-1.579, -3.976, -0.700], [-1.806, -1.122, 3.777], [-0.614, 3.604, -2.329]], "species": ["C", "C", "Si", "C", "C", "Si"], "fractional_positions": [[0.389, 0.389, 0.000], [0.361, 0.861, 0.500], [0.000, 0.000, 0.000], [0.611, 0.611, 0.000], [0.139, 0.639, 0.500], [0.750, 0.250, 0.500]], "spacegroup": "No. 141", "total_energy_ev_per_atom": -6.38, "e_form_raw_ev_per_atom": 1.578, "n_ef_per_ev_atom": 0.15}